1.
Material: BaSrPr
Method: DFT, PBE-GGA
State: relaxed

The space group is P-1 (No. 2) and the conventional cell measures 4.060, 7.037 and 10.384 Å, with angles of 96.17, 101.24 and 90.10 degrees. The asymmetric unit holds Ba at (0.093, 0.361, 0.182), Sr at (0.407, 0.138, 0.819) and Pr at (0.249, 0.751, 0.498).

Its formation energy is 13.7 kJ per mole of atoms. The calculation puts the energy above the most stable polymorph in this dataset at 0.22 eV per formula unit.

***

2.
Material: BaSr2Pr
Method: DFT, PBE-GGA
State: relaxed

The space group is R3m (No. 160, hexagonal axes) and the conventional cell measures 4.1106, 4.1106 and 40.6759 Å, with angles of 90.00, 90.00 and 120.00 degrees. The asymmetric unit holds Ba at (0.0000, 0.0000, 0.0000), Sr at (0.0000, 0.0000, 0.4230), Sr at (0.0000, 0.0000, 0.5773) and Pr at (0.0000, 0.0000, 0.8335).

Its formation energy is 10.8 kJ per mole of atoms. The calculation puts the energy above the most stable polymorph in this dataset at 0.00 eV per formula unit.

***

3.
Material: Ba2SrPr
Method: DFT, PBE-GGA
State: relaxed

The space group is R3m (No. 160, hexagonal axes) and the conventional cell measures 4.1698, 4.1698 and 40.8802 Å, with angles of 90.00, 90.00 and 120.00 degrees. The asymmetric unit holds Ba at (0.0000, 0.0000, 0.0000), Ba at (0.0000, 0.0000, 0.1551), Sr at (0.0000, 0.0000, 0.5773) and Pr at (0.0000, 0.0000, 0.4110).

Its formation energy is 11.6 kJ per mole of atoms. The calculation puts the energy above the most stable polymorph in this dataset at 0.00 eV per formula unit.

***

4.
Material: BaSr2Pr
Method: DFT, PBE-GGA
State: relaxed

The space group is Fm-3m (No. 225) and the conventional cell measures 9.261, 9.261 and 9.261 Å, with angles of 90.00, 90.00 and 90.00 degrees. The asymmetric unit holds Ba at (0.000, 0.000, 0.000), Sr at (0.250, 0.250, 0.250) and Pr at (0.000, 0.000, 0.500).

Its formation energy is 14.8 kJ per mole of atoms. The calculation puts the energy above the most stable polymorph in this dataset at 0.16 eV per formula unit.

***

5.
Material: BaSr2Pr
Method: DFT, PBE-GGA
State: relaxed

The space group is P4/mmm (No. 123) and the conventional cell measures 6.590, 6.590 and 4.553 Å, with angles of 90.00, 90.00 and 90.00 degrees. The asymmetric unit holds Ba at (0.000, 0.000, 0.000), Sr at (0.000, 0.500, 0.500) and Pr at (0.500, 0.500, 0.000).

Its formation energy is 14.9 kJ per mole of atoms. The calculation puts the energy above the most stable polymorph in this dataset at 0.17 eV per formula unit.

***

6.
Material: Ba2SrPr
Method: DFT, PBE-GGA
State: relaxed

The space group is P4/mmm (No. 123) and the conventional cell measures 4.141, 4.141 and 12.067 Å, with angles of 90.00, 90.00 and 90.00 degrees. The asymmetric unit holds Ba at (0.000, 0.000, 0.229), Sr at (0.500, 0.500, 0.500) and Pr at (0.500, 0.500, 0.000).

Its formation energy is 11.6 kJ per mole of atoms. The calculation puts the energy above the most stable polymorph in this dataset at 0.00 eV per formula unit.

***

7.
Material: Ba2SrPr
Method: DFT, PBE-GGA
State: relaxed

The space group is Fm-3m (No. 225) and the conventional cell measures 9.375, 9.375 and 9.375 Å, with angles of 90.00, 90.00 and 90.00 degrees. The asymmetric unit holds Ba at (0.250, 0.250, 0.250), Sr at (0.000, 0.000, 0.000) and Pr at (0.000, 0.000, 0.500).

Its formation energy is 15.3 kJ per mole of atoms. The calculation puts the energy above the most stable polymorph in this dataset at 0.15 eV per formula unit.

***

8.
Material: BaSrPr
Method: DFT, PBE-GGA
State: relaxed

The space group is I4mm (No. 107) and the conventional cell measures 4.044, 4.044 and 17.776 Å, with angles of 90.00, 90.00 and 90.00 degrees. The asymmetric unit holds Ba at (0.000, 0.000, 0.000), Sr at (0.000, 0.000, 0.312) and Pr at (0.000, 0.000, 0.659).

Its formation energy is 13.7 kJ per mole of atoms. The calculation puts the energy above the most stable polymorph in this dataset at 0.22 eV per formula unit.

***

9.
Material: BaSrPr
Method: DFT, PBE-GGA
State: relaxed

The space group is P3m1 (No. 156) and the conventional cell measures 4.0619, 4.0619 and 10.0817 Å, with angles of 90.00, 90.00 and 120.00 degrees. The asymmetric unit holds Ba at (0.0000, 0.0000, 0.0000), Sr at (0.3333, 0.6667, 0.6361) and Pr at (0.6667, 0.3333, 0.3226).

Its formation energy is 13.7 kJ per mole of atoms. The calculation puts the energy above the most stable polymorph in this dataset at 0.21 eV per formula unit.

***

10.
Material: Ba2Sr3PrTe6
Method: DFT, PBE-GGA
State: relaxed

The space group is C2/m (No. 12) and the conventional cell measures 20.852, 4.768 and 9.626 Å, with angles of 90.00, 103.15 and 90.00 degrees. The asymmetric unit holds Ba at (0.166, 0.000, 0.333), Sr at (0.000, 0.500, 0.500), Sr at (0.168, 0.000, 0.835), Pr at (0.000, 0.500, 0.000), Te at (0.004, 0.000, 0.763), Te at (0.162, 0.500, 0.071) and Te at (0.163, 0.500, 0.593).

As for the formation energy from raw total energies: -1.6757 eV/atom.

***

11.
Material: BaSr2PrTl4
Method: DFT, PBE-GGA
State: relaxed

The space group is R-3m (No. 166, hexagonal axes) and the conventional cell measures 5.8030, 5.8030 and 28.5404 Å, with angles of 90.00, 90.00 and 120.00 degrees. The asymmetric unit holds Ba at (0.0000, 0.0000, 0.0000), Sr at (0.0000, 0.0000, 0.2501), Pr at (0.0000, 0.0000, 0.5000), Tl at (0.0000, 0.0000, 0.1276) and Tl at (0.0000, 0.0000, 0.3824).

Its formation energy is -37.4 kJ per mole of atoms.

***

12.
Material: BaTb2Pr
Method: DFT, PBE-GGA
State: relaxed

The space group is P4/mmm (No. 123) and the conventional cell measures 3.750, 3.750 and 10.893 Å, with angles of 90.00, 90.00 and 90.00 degrees. The asymmetric unit holds Ba at (0.000, 0.000, 0.000), Tb at (0.500, 0.500, 0.279) and Pr at (0.000, 0.000, 0.500).

Its formation energy is 14.3 kJ per mole of atoms. The calculation puts the energy above the most stable polymorph in this dataset at 0.00 eV per formula unit.

***

13.
Material: BaTb2Pr
Method: DFT, PBE-GGA
State: relaxed

The space group is R-3m (No. 166, hexagonal axes) and the conventional cell measures 3.6641, 3.6641 and 39.0448 Å, with angles of 90.00, 90.00 and 120.00 degrees. The asymmetric unit holds Ba at (0.0000, 0.0000, 0.0000), Tb at (0.0000, 0.0000, 0.0928) and Pr at (0.0000, 0.0000, 0.5000).

Its formation energy is 21.7 kJ per mole of atoms. The calculation puts the energy above the most stable polymorph in this dataset at 0.31 eV per formula unit.

***

14.
Material: BaTbPr
Method: DFT, PBE-GGA
State: relaxed

The space group is I4mm (No. 107) and the conventional cell measures 3.828, 3.828 and 16.742 Å, with angles of 90.00, 90.00 and 90.00 degrees. The asymmetric unit holds Ba at (0.000, 0.000, 0.000), Tb at (0.000, 0.000, 0.320) and Pr at (0.000, 0.000, 0.683).

Its formation energy is 14.3 kJ per mole of atoms. The calculation puts the energy above the most stable polymorph in this dataset at 0.00 eV per formula unit.

***

15.
Material: BaTbPr
Method: DFT, PBE-GGA
State: relaxed

The space group is P3m1 (No. 156) and the conventional cell measures 3.8249, 3.8249 and 9.5303 Å, with angles of 90.00, 90.00 and 120.00 degrees. The asymmetric unit holds Ba at (0.0000, 0.0000, 0.0000), Tb at (0.6667, 0.3333, 0.3477) and Pr at (0.3333, 0.6667, 0.6397).

Its formation energy is 15.5 kJ per mole of atoms. The calculation puts the energy above the most stable polymorph in this dataset at 0.04 eV per formula unit.

***

16.
Material: Ba3TbPr2Te6
Method: DFT, PBE-GGA
State: relaxed

The space group is C2/m (No. 12) and the conventional cell measures 8.074, 13.959 and 8.329 Å, with angles of 90.00, 108.85 and 90.00 degrees. The asymmetric unit holds Ba at (0.000, 0.000, 0.000), Ba at (0.000, 0.330, 0.000), Tb at (0.000, 0.500, 0.500), Pr at (0.000, 0.165, 0.500), Te at (0.236, 0.337, 0.722) and Te at (0.250, 0.000, 0.725).

As for the formation energy from raw total energies: -1.5690 eV/atom.

***

17.
Material: BaPr3Tc
Method: DFT, PBE-GGA
State: relaxed

The space group is Pm-3m (No. 221) and the conventional cell measures 5.715, 5.715 and 5.715 Å, with angles of 90.00, 90.00 and 90.00 degrees. The asymmetric unit holds Ba at (0.000, 0.000, 0.000), Pr at (0.000, 0.500, 0.500) and Tc at (0.500, 0.500, 0.500).

Its formation energy is 14.3 kJ per mole of atoms.

***

18.
Material: BaPr2Te4
Method: DFT, PBE-GGA
State: relaxed

The space group is Cmcm (No. 63) and the conventional cell measures 4.622, 15.073 and 15.739 Å, with angles of 90.00, 90.00 and 90.00 degrees. The asymmetric unit holds Ba at (0.000, 0.111, 0.250), Pr at (0.000, 0.365, 0.067), Te at (0.000, 0.000, 0.000), Te at (0.000, 0.270, 0.617) and Te at (0.000, 0.442, 0.250).

As for the formation energy from raw total energies: -1.5416 eV/atom. The calculation puts the energy above the most stable polymorph in this dataset at 0.11 eV per formula unit.

***

19.
Material: BaPrTe4
Method: DFT, PBE-GGA
State: relaxed

The space group is P4/nbm (No. 125, origin choice 2) and the conventional cell measures 7.096, 7.096 and 8.563 Å, with angles of 90.00, 90.00 and 90.00 degrees. The asymmetric unit holds Ba at (0.250, 0.250, 0.000), Pr at (0.250, 0.250, 0.500) and Te at (0.101, 0.601, 0.277).

As for the formation energy from raw total energies: -1.1424 eV/atom.

***

20.
Material: Ba2Pr3Te6
Method: DFT, PBE-GGA
State: relaxed

The space group is C2/m (No. 12) and the conventional cell measures 7.992, 13.834 and 8.508 Å, with angles of 90.00, 108.23 and 90.00 degrees. The asymmetric unit holds Ba at (0.000, 0.167, 0.000), Pr at (0.000, 0.000, 0.500), Pr at (0.000, 0.333, 0.500), Te at (0.240, 0.500, 0.726) and Te at (0.243, 0.165, 0.726).

As for the formation energy from raw total energies: -1.5741 eV/atom.

***

21.
Material: BaPr4Te6
Method: DFT, PBE-GGA
State: relaxed

The space group is Cmcm (No. 63) and the conventional cell measures 4.579, 14.924 and 23.502 Å, with angles of 90.00, 90.00 and 90.00 degrees. The asymmetric unit holds Ba at (0.000, 0.161, 0.250), Pr at (0.000, 0.091, 0.626), Pr at (0.000, 0.361, 0.538), Te at (0.000, 0.000, 0.000), Te at (0.000, 0.166, 0.750), Te at (0.000, 0.268, 0.089) and Te at (0.000, 0.454, 0.661).

As for the formation energy from raw total energies: -1.5151 eV/atom.

***

22.
Material: BaPr2Te4
Method: DFT, PBE-GGA
State: relaxed

The space group is Pnma (No. 62) and the conventional cell measures 13.881, 4.642 and 16.802 Å, with angles of 90.00, 90.00 and 90.00 degrees. The asymmetric unit holds Ba at (0.244, 0.250, 0.164), Pr at (0.074, 0.250, 0.393), Pr at (0.076, 0.250, 0.901), Te at (0.019, 0.750, 0.783), Te at (0.084, 0.250, 0.582), Te at (0.137, 0.750, 0.025) and Te at (0.211, 0.750, 0.324).

As for the formation energy from raw total energies: -1.5578 eV/atom. The calculation puts the energy above the most stable polymorph in this dataset at 0.00 eV per formula unit.

***

23.
Material: Ba5Pr3Te8
Method: DFT, PBE-GGA
State: relaxed

The space group is R-3m (No. 166, hexagonal axes) and the conventional cell measures 9.5477, 9.5477 and 23.8019 Å, with angles of 90.00, 90.00 and 120.00 degrees. The asymmetric unit holds Ba at (0.0000, 0.0000, 0.0000), Ba at (0.0000, 0.0000, 0.5000), Ba at (0.0000, 0.5000, 0.0000), Pr at (0.0000, 0.5000, 0.5000), Te at (0.0000, 0.0000, 0.2421) and Te at (0.0122, 0.5061, 0.7560).

As for the formation energy from raw total energies: -1.6254 eV/atom.

***

24.
Material: Ba2PrTe3
Method: DFT, PBE-GGA
State: relaxed

The space group is C2/m (No. 12) and the conventional cell measures 8.321, 14.406 and 8.405 Å, with angles of 90.00, 109.30 and 90.00 degrees. The asymmetric unit holds Ba at (0.000, 0.000, 0.000), Ba at (0.000, 0.162, 0.500), Ba at (0.000, 0.500, 0.500), Pr at (0.000, 0.332, 0.000), Te at (0.228, 0.500, 0.229) and Te at (0.248, 0.326, 0.767).

As for the formation energy from raw total energies: -1.6406 eV/atom.